Compound: NaLi2CrCo
Source: the Alexandria database
Functional: PBE-GGA
Structure: optimized geometry

Summary:
Magnetization: 0.283 μB/atom
Space-group type: P4/mmm
Energy of formation: 1572 meV per atom
D(E_F): 9.7 states/eV/cell

Cell: 4.498 4.498 5.011 Å, 90.00 90.00 90.00°
Fractional coordinates of all 5 atoms:
Na  0.000  0.000  0.000
Li  0.000  0.500  0.500
Li  0.500  0.000  0.500
Cr  0.500  0.500  0.000
Co  0.000  0.000  0.500